Record 1
Computed, not measured: a relaxed HfBe2BPt crystal at the PBE level of DFT.

Values from the calculation:
Space-group type: P4/mmm, No. 123
DOS(E_F): 2.17 states/eV/cell
Magnetic moment: 0.0 Bohr magnetons per cell
Crystal system: tetragonal
V: 64 Å³/cell
Total energy: -6.03 eV/atom

abc: 3.926 4.158 3.926
angles: 90.00 90.00 90.00
Fractional positions:
Be  0.000  0.000  0.500
Be  0.500  0.000  0.000
B  0.000  0.000  0.000
Hf  0.500  0.500  0.500
Pt  0.000  0.500  0.000

***

Record 2
Computed, not measured: a relaxed Tl3Re2PbO9 crystal at the PBE level of DFT.

Values from the calculation:
Space-group type: P-3m1, No. 164
DOS(E_F): 5.77 states/eV/cell
Magnetic moment: 0.0 Bohr magnetons per cell
E_form (uncorrected): -1.21 eV per atom
Crystal system: trigonal
V: 234 Å³/cell

abc: 5.896 5.896 7.757
angles: 90.00 90.00 120.00
Fractional positions:
Tl  0.333  0.667  0.693
Tl  0.000  0.000  0.000
Tl  0.667  0.333  0.307
Re  0.333  0.667  0.152
Re  0.667  0.333  0.848
Pb  0.000  0.000  0.500
O  0.818  0.182  0.720
O  0.818  0.636  0.720
O  0.364  0.182  0.720
O  0.636  0.818  0.280
O  0.182  0.364  0.280
O  0.182  0.818  0.280
O  0.500  0.000  0.000
O  0.000  0.500  0.000
O  0.500  0.500  0.000

***

Record 3
Computed, not measured: a relaxed Ce8In3Ru crystal at the PBE level of DFT.

Values from the calculation:
Space-group type: Cm, No. 8
DOS(E_F): 31.36 states/eV/cell
Magnetic moment: 4.9 Bohr magnetons per cell
Crystal system: monoclinic
V: 299 Å³/cell
Total energy: -5.60 eV/atom

abc: 9.766 8.056 5.952
angles: 61.79 99.80 131.97
Site moments in Bohr magnetons follow the coordinates.
Fractional positions:
Ce  0.185  0.000  0.802  0.54
Ce  0.550  0.526  0.351  0.53
Ce  0.025  0.474  0.877  0.52
Ce  0.561  0.000  0.884  0.55
Ce  0.735  0.000  0.414  0.63
Ce  0.877  0.496  0.437  0.49
Ce  0.380  0.504  0.933  0.49
Ce  0.026  0.000  0.285  0.38
In  0.722  0.529  0.883  -0.01
In  0.194  0.471  0.412  -0.01
In  0.374  0.000  0.354  -0.01
Ru  0.871  0.000  0.869  -0.09

***

Record 4
Computed, not measured: a relaxed KCaRhPb2 crystal at the PBE level of DFT.

Values from the calculation:
Space-group type: P4/mmm, No. 123
DOS(E_F): 4.42 states/eV/cell
Magnetic moment: 0.0 Bohr magnetons per cell
Crystal system: tetragonal
V: 159 Å³/cell
Total energy: -3.75 eV/atom

abc: 5.425 5.425 5.389
angles: 90.00 90.00 90.00
Fractional positions:
Pb  0.000  0.500  0.000
Pb  0.500  0.000  0.000
Ca  0.000  0.000  0.500
Rh  0.000  0.000  0.000
K  0.500  0.500  0.500

***

Record 5
Computed, not measured: a relaxed Li6PmCu2 crystal at the PBE level of DFT.

Values from the calculation:
Space-group type: P4/mmm, No. 123
DOS(E_F): 3.14 states/eV/cell
Magnetic moment: 0.0 Bohr magnetons per cell
Crystal system: tetragonal
V: 170 Å³/cell
Total energy: -2.76 eV/atom

abc: 3.945 3.945 10.903
angles: 90.00 90.00 90.00
Fractional positions:
Li  0.000  0.500  0.279
Li  0.500  0.000  0.279
Li  0.000  0.500  0.721
Li  0.500  0.000  0.721
Li  0.500  0.500  0.500
Li  0.000  0.000  0.500
Pm  0.000  0.000  0.000
Cu  0.500  0.500  0.114
Cu  0.500  0.500  0.886

***

Record 6
Computed, not measured: a relaxed LiHgMo2 crystal at the PBE level of DFT.

Values from the calculation:
Space-group type: I-42d, No. 122
DOS(E_F): 4.49 states/eV/cell
Magnetic moment: 0.0 Bohr magnetons per cell
Crystal system: tetragonal
V: 139 Å³/cell
Total energy: -5.39 eV/atom

abc: 3.660 3.660 10.731
angles: 80.18 80.18 90.00
Fractional positions:
Mo  0.613  0.125  0.250
Mo  0.137  0.625  0.250
Mo  0.375  0.387  0.750
Mo  0.875  0.863  0.750
Hg  0.000  0.000  0.000
Hg  0.750  0.250  0.500
Li  0.500  0.500  0.000
Li  0.250  0.750  0.500

***

Record 7
Computed, not measured: a relaxed Sr2UPaS6 crystal at the PBE level of DFT.

Values from the calculation:
Space-group type: P4mm, No. 99
DOS(E_F): 11.55 states/eV/cell
Magnetic moment: 3.0 Bohr magnetons per cell
E_form (uncorrected): -1.61 eV per atom
Crystal system: tetragonal
V: 299 Å³/cell

abc: 5.345 7.479 7.479
angles: 90.00 90.00 90.00
Site moments in Bohr magnetons follow the coordinates.
Fractional positions:
Sr  0.993  0.500  0.000  0.02
Sr  0.993  0.000  0.500  0.02
U  0.661  0.000  0.000  2.23
Pa  0.658  0.500  0.500  0.62
S  0.703  0.252  0.252  -0.04
S  0.703  0.252  0.748  -0.04
S  0.167  0.500  0.500  -0.02
S  0.164  0.000  0.000  -0.06
S  0.703  0.748  0.748  -0.04
S  0.703  0.748  0.252  -0.04

***

Record 8
Computed, not measured: a relaxed BeSbC3 crystal at the PBE level of DFT.

Values from the calculation:
Space-group type: Pm-3m, No. 221
DOS(E_F): 5.37 states/eV/cell
Polymorph energy (0 for the lowest one): 0.8805 eV/atom
Magnetic moment: 0.0 Bohr magnetons per cell
E_form (uncorrected): 3.22 eV per atom
Crystal system: cubic
V: 75 Å³/cell

abc: 4.220 4.220 4.220
angles: 90.00 90.00 90.00
Fractional positions:
Sb  0.000  0.000  0.000
C  0.000  0.500  0.000
C  0.000  0.000  0.500
C  0.500  0.000  0.000
Be  0.500  0.500  0.500

***

Record 9
Computed, not measured: a relaxed TbAlCu crystal at the PBE level of DFT.

Values from the calculation:
Space-group type: Imma, No. 74
DOS(E_F): 3.79 states/eV/cell
Magnetic moment: 0.0 Bohr magnetons per cell
Crystal system: orthorhombic
V: 112 Å³/cell
Total energy: -4.54 eV/atom

abc: 5.382 5.382 5.382
angles: 118.74 119.05 91.93
Fractional positions:
Tb  0.122  0.872  0.250
Tb  0.878  0.128  0.750
Al  0.500  0.500  0.500
Al  0.500  0.000  0.000
Cu  0.500  0.500  0.000
Cu  0.000  0.500  0.500